1.
# CePmPrMg

A relaxed structure of CePmPrMg (PBE-GGA, Alexandria via LeMat-Bulk).

Results
symmetry: F-43m
energy above the lowest structure with this stoichiometry: 0 meV/atom

Unit cell a=5.624 b=5.624 c=5.624 alpha=60.00 beta=60.00 gamma=60.00
Atoms (fractional coordinates):
1 Mg 0.000 0.000 0.000
2 Pr 0.750 0.750 0.750
3 Pm 0.500 0.500 0.500
4 Ce 0.250 0.250 0.250



2.
# SrLaW2S

A relaxed structure of SrLaW2S (PBE-GGA, Alexandria via LeMat-Bulk).

Results
symmetry: P4/mmm
raw formation energy: 49 kJ/mol of atoms

Unit cell a=4.613 b=5.488 c=4.613 alpha=90.00 beta=90.00 gamma=90.00
Atoms (fractional coordinates):
1 S 0.000 0.000 0.000
2 W 0.500 0.000 0.000
3 W 0.000 0.000 0.500
4 La 0.000 0.500 0.000
5 Sr 0.500 0.500 0.500



3.
# TcAgAu

A relaxed structure of TcAgAu (PBE-GGA, Alexandria via LeMat-Bulk).

Results
symmetry: Imm2
energy above the lowest structure with this stoichiometry: 199 meV/atom

Unit cell a=5.027 b=5.027 c=5.027 alpha=148.57 beta=129.67 gamma=60.55
Atoms (fractional coordinates):
1 Au 0.329 0.329 0.000
2 Ag 0.002 0.002 0.000
3 Tc 0.669 0.669 0.000



4.
# AcZnPdPt

A relaxed structure of AcZnPdPt (PBE-GGA, Alexandria via LeMat-Bulk).

Results
symmetry: Cm
energy above the lowest structure with this stoichiometry: 0 meV/atom

Unit cell a=4.449 b=4.446 c=5.773 alpha=112.69 beta=90.00 gamma=120.02
Atoms (fractional coordinates):
1 Ac 0.615 0.230 0.486
2 Zn 0.119 0.238 0.000
3 Pt 0.825 0.650 0.117
4 Pd 0.407 0.814 0.864



5.
# LaCu4Pt

A relaxed structure of LaCu4Pt (PBE-GGA, Alexandria via LeMat-Bulk).

Results
symmetry: F-43m
total DFT energy (no corrections): -4.883 eV per atom

Unit cell a=5.107 b=5.107 c=5.107 alpha=60.00 beta=60.00 gamma=60.00
Atoms (fractional coordinates):
1 Cu 0.120 0.627 0.627
2 Cu 0.627 0.627 0.120
3 Cu 0.627 0.627 0.627
4 Cu 0.627 0.120 0.627
5 La 0.250 0.250 0.250
6 Pt 0.000 0.000 0.000



6.
# Mg2CoBr6

A relaxed structure of Mg2CoBr6 (PBE-GGA, Alexandria via LeMat-Bulk).

Results
symmetry: P-31m
raw formation energy: -103 kJ/mol of atoms

Unit cell a=7.052 b=6.654 c=6.654 alpha=120.00 beta=90.00 gamma=90.00
Atoms (fractional coordinates):
1 Br 0.290 0.324 0.324
2 Br 0.710 0.324 0.000
3 Br 0.290 0.676 0.000
4 Br 0.710 0.000 0.324
5 Br 0.710 0.676 0.676
6 Br 0.290 0.000 0.676
7 Co 0.500 0.000 0.000
8 Mg 0.500 0.333 0.667
9 Mg 0.500 0.667 0.333